1.
This record from Alexandria via LeMat-Bulk describes a relaxed structure of HoCo4Sn12. The functional is PBE-GGA.

Values from the calculation:
- energy of formation from the pure elements (kJ/mol of atoms) = -7.3
- VASP energy (eV per cell) = -82.33

a b c (Å): 7.9743 7.9743 7.9743
angles (deg): 109.47 109.47 109.47
With the nearest neighbours (Å) after each atom.
Positions (direct):
Co 0.0000 0.5000 0.0000  6 Sn 2.52
Sn 0.3279 0.1591 0.8312  2 Co 2.52
Sn 0.1688 0.6721 0.8409  2 Co 2.52
Sn 0.4966 0.1688 0.3279  2 Co 2.52
Sn 0.6721 0.8409 0.1688  2 Co 2.52
Sn 0.6721 0.5034 0.8312  2 Co 2.52
Co 0.0000 0.0000 0.5000  6 Sn 2.52
Sn 0.1688 0.3279 0.4966  2 Co 2.52
Co 0.5000 0.5000 0.5000  6 Sn 2.52
Co 0.5000 0.0000 0.0000  6 Sn 2.52
Sn 0.3279 0.4966 0.1688  2 Co 2.52
Sn 0.8312 0.6721 0.5034  2 Co 2.52
Sn 0.1591 0.8312 0.3279  2 Co 2.52
Sn 0.8409 0.1688 0.6721  2 Co 2.52
Ho 0.0000 0.0000 0.0000  12 Sn 3.40
Sn 0.5034 0.8312 0.6721  2 Co 2.52
Sn 0.8312 0.3279 0.1591  2 Co 2.52

2.
This record from Alexandria via LeMat-Bulk describes a relaxed structure of Ho3Co2Sn3. The functional is PBE-GGA.

Values from the calculation:
- energy of formation from the pure elements (kJ/mol of atoms) = -53.5
- VASP energy (eV per cell) = -88.78

a b c (Å): 4.4250 5.7954 14.7728
angles (deg): 90.00 90.00 112.44
With the nearest neighbours (Å) after each atom.
Positions (direct):
Ho 0.3517 0.7035 0.7500  5 Sn 3.09-3.20, 4 Co 3.11
Sn 0.6384 0.2768 0.4636  3 Co 2.55-2.72
Ho 0.9284 0.8569 0.3891  3 Co 2.95-3.27, 5 Sn 3.13-3.30
Sn 0.3616 0.7232 0.9636  3 Co 2.55-2.72
Sn 0.3500 0.6999 0.2500  2 Co 2.62
Sn 0.6500 0.3001 0.7500  2 Co 2.62
Ho 0.0716 0.1431 0.6109  3 Co 2.95-3.27, 5 Sn 3.13-3.30
Co 0.2034 0.4068 0.3921  4 Sn 2.55-2.72
Sn 0.6384 0.2768 0.0364  3 Co 2.55-2.72
Co 0.7966 0.5932 0.8921  4 Sn 2.55-2.72
Co 0.2034 0.4068 0.1079  4 Sn 2.55-2.72
Sn 0.3616 0.7232 0.5364  3 Co 2.55-2.72
Co 0.7966 0.5932 0.6079  4 Sn 2.55-2.72
Ho 0.6483 0.2965 0.2500  5 Sn 3.09-3.20, 4 Co 3.11
Ho 0.0716 0.1431 0.8891  3 Co 2.95-3.27, 5 Sn 3.13-3.30
Ho 0.9284 0.8569 0.1109  3 Co 2.95-3.27, 5 Sn 3.13-3.30

3.
This record from Alexandria via LeMat-Bulk describes a relaxed structure of Ho12Co6Sn. The functional is PBE-GGA.

Values from the calculation:
- energy of formation from the pure elements (kJ/mol of atoms) = -29.2
- VASP energy (eV per cell) = -107.32

a b c (Å): 8.3206 8.3206 8.3206
angles (deg): 109.47 109.47 109.47
With the nearest neighbours (Å) after each atom.
Positions (direct):
Sn 0.0000 0.0000 0.0000  12 Ho 3.46
Co 0.6134 0.5000 0.1134  1 Co 2.18
Ho 0.6970 0.5025 0.8055  3 Co 2.64-2.87
Ho 0.6970 0.8915 0.1945  3 Co 2.64-2.87
Ho 0.1945 0.3030 0.4975  3 Co 2.64-2.87
Ho 0.3030 0.4975 0.1945  3 Co 2.64-2.87
Co 0.1134 0.6134 0.5000  1 Co 2.18
Co 0.8866 0.3866 0.5000  1 Co 2.18
Ho 0.1945 0.6970 0.8915  3 Co 2.64-2.87
Co 0.5000 0.1134 0.6134  1 Co 2.18
Ho 0.8915 0.1945 0.6970  3 Co 2.64-2.87
Ho 0.3030 0.1085 0.8055  3 Co 2.64-2.87
Ho 0.8055 0.6970 0.5025  3 Co 2.64-2.87
Co 0.3866 0.5000 0.8866  1 Co 2.18
Ho 0.8055 0.3030 0.1085  3 Co 2.64-2.87
Co 0.5000 0.8866 0.3866  1 Co 2.18
Ho 0.1085 0.8055 0.3030  3 Co 2.64-2.87
Ho 0.4975 0.1945 0.3030  3 Co 2.64-2.87
Ho 0.5025 0.8055 0.6970  3 Co 2.64-2.87

4.
This record from Alexandria via LeMat-Bulk describes a relaxed structure of Ho7Co2Sn. The functional is PBE-GGA.

Values from the calculation:
- energy of formation from the pure elements (kJ/mol of atoms) = -10.1
- VASP energy (eV per cell) = -51.31

a b c (Å): 4.8934 7.9819 7.9819
angles (deg): 112.51 90.00 90.00
With the nearest neighbours (Å) after each atom.
Positions (direct):
Ho 0.5000 0.6839 0.9471  2 Co 2.73-2.96
Ho 0.0000 0.2901 0.7099  2 Co 2.45
Sn 0.0000 0.0000 0.0000  8 Ho 3.42
Ho 0.5000 0.3161 0.0529  2 Co 2.73-2.96
Ho 0.5000 0.5000 0.5000  2 Co 2.70
Ho 0.5000 0.9471 0.6839  2 Co 2.73-2.96
Co 0.5000 0.2964 0.7036  5 Ho 2.45-2.73
Ho 0.0000 0.7099 0.2901  2 Co 2.45
Ho 0.5000 0.0529 0.3161  2 Co 2.73-2.96
Co 0.5000 0.7036 0.2964  5 Ho 2.45-2.73

5.
This record from Alexandria via LeMat-Bulk describes a relaxed structure of Ho2CoSn2. The functional is PBE-GGA.

Values from the calculation:
- energy of formation from the pure elements (kJ/mol of atoms) = -48.7
- VASP energy (eV per cell) = -53.58

a b c (Å): 6.0581 6.1468 7.6832
angles (deg): 113.58 113.22 90.00
With the nearest neighbours (Å) after each atom.
Positions (direct):
Co 0.7500 0.5000 0.0000  4 Sn 2.64, 4 Ho 2.83
Sn 0.0871 0.8884 0.1742  2 Co 2.64
Ho 0.3406 0.1340 0.6811  2 Co 2.83, 1 Sn 3.16
Sn 0.9129 0.1116 0.8258  2 Co 2.64
Ho 0.1594 0.4529 0.3189  2 Co 2.83, 1 Sn 3.16
Ho 0.8406 0.5471 0.6811  2 Co 2.83, 1 Sn 3.16
Sn 0.5871 0.2858 0.1742  2 Co 2.64
Sn 0.4129 0.7142 0.8258  2 Co 2.64
Ho 0.6594 0.8660 0.3189  2 Co 2.83, 1 Sn 3.16
Co 0.2500 0.5000 0.0000  4 Sn 2.64, 4 Ho 2.83

6.
This record from Alexandria via LeMat-Bulk describes a relaxed structure of HoCo2Sn2. The functional is PBE-GGA.

Values from the calculation:
- energy of formation from the pure elements (kJ/mol of atoms) = -27.1
- VASP energy (eV per cell) = -56.40

a b c (Å): 4.2344 4.4938 10.1871
angles (deg): 96.84 90.00 90.00
With the nearest neighbours (Å) after each atom.
Positions (direct):
Sn 0.7500 0.7443 0.4965  4 Co 2.55-2.63
Sn 0.2500 0.2557 0.5035  4 Co 2.55-2.63
Ho 0.2500 0.6974 0.2500  1 Co 2.77
Co 0.7500 0.6253 0.9988  2 Co 2.40, 4 Sn 2.54-2.67
Co 0.7500 0.2058 0.3638  5 Sn 2.47-2.63
Sn 0.2500 0.8374 0.8805  5 Co 2.47-2.67
Co 0.2500 0.7942 0.6362  5 Sn 2.47-2.63
Sn 0.7500 0.1626 0.1195  5 Co 2.47-2.67
Ho 0.7500 0.3026 0.7500  1 Co 2.77
Co 0.2500 0.3747 0.0012  2 Co 2.40, 4 Sn 2.54-2.67

7.
This record from Alexandria via LeMat-Bulk describes a relaxed structure of HoZnCoSn. The functional is PBE-GGA.

Values from the calculation:
- energy of formation from the pure elements (kJ/mol of atoms) = -20.6
- VASP energy (eV per cell) = -17.81

a b c (Å): 4.6595 4.6595 4.6595
angles (deg): 60.00 60.00 60.00
With the nearest neighbours (Å) after each atom.
Positions (direct):
Ho 0.7500 0.7500 0.7500  4 Zn 2.85, 4 Co 2.85
Zn 0.5000 0.5000 0.5000  4 Ho 2.85, 4 Sn 2.85
Co 0.0000 0.0000 0.0000  4 Sn 2.85, 4 Ho 2.85
Sn 0.2500 0.2500 0.2500  4 Zn 2.85, 4 Co 2.85

8.
This record from Alexandria via LeMat-Bulk describes a relaxed structure of HoTaCo10. The functional is PBE-GGA.

Values from the calculation:
- energy of formation from the pure elements (kJ/mol of atoms) = -2.3
- VASP energy (eV per cell) = -87.77

a b c (Å): 3.9751 4.7551 8.2596
angles (deg): 90.00 90.00 90.00
With the nearest neighbours (Å) after each atom.
Positions (direct):
Co 0.5000 0.5000 0.0000  8 Co 2.44-2.49
Ta 0.0000 0.5000 0.5000  6 Co 2.62-2.70
Co 0.5000 0.7441 0.2593  8 Co 2.32-2.44
Co 0.5000 0.2559 0.2593  8 Co 2.32-2.44
Co 0.0000 0.0000 0.3455  7 Co 2.36-2.55
Ho 0.0000 0.0000 0.0000  10 Co 2.81-3.10
Co 0.5000 0.7441 0.7407  8 Co 2.32-2.44
Co 0.0000 0.5000 0.8177  6 Co 2.39-2.49, 1 Ta 2.62
Co 0.0000 0.5000 0.1823  6 Co 2.39-2.49, 1 Ta 2.62
Co 0.5000 0.0000 0.5000  8 Co 2.33-2.36
Co 0.0000 0.0000 0.6545  7 Co 2.36-2.55
Co 0.5000 0.2559 0.7407  8 Co 2.32-2.44

9.
This record from Alexandria via LeMat-Bulk describes a relaxed structure of Ho2TaCo. The functional is PBE-GGA.

Values from the calculation:
- energy of formation from the pure elements (kJ/mol of atoms) = 58.6
- VASP energy (eV per cell) = -25.68

a b c (Å): 3.1847 3.1847 10.0911
angles (deg): 80.92 80.92 60.00
With the nearest neighbours (Å) after each atom.
Positions (direct):
Ho 0.1011 0.1011 0.6966  3 Co 2.68
Co 0.5000 0.5000 0.5000  6 Ho 2.68
Ho 0.8989 0.8989 0.3034  3 Co 2.68
Ta 0.0000 0.0000 0.0000  2 Ho 3.01, 6 Ta 3.18

10.
This record from Alexandria via LeMat-Bulk describes a relaxed structure of HoTa2Co9. The functional is PBE-GGA.

Values from the calculation:
- energy of formation from the pure elements (kJ/mol of atoms) = -16.8
- VASP energy (eV per cell) = -94.32

a b c (Å): 4.8027 4.8027 8.2763
angles (deg): 73.13 73.13 60.00
With the nearest neighbours (Å) after each atom.
Positions (direct):
Co 0.4104 0.9206 0.2587  7 Co 2.35-2.47
Ta 0.8591 0.8591 0.4226  12 Co 2.72-2.84, 3 Ta 3.02
Co 0.0794 0.5896 0.7413  7 Co 2.35-2.47
Co 0.5896 0.0794 0.7413  7 Co 2.35-2.47
Ho 0.0000 0.0000 0.0000  6 Co 2.77
Co 0.3355 0.3355 0.9936  6 Co 2.42-2.47
Ta 0.1409 0.1409 0.5774  12 Co 2.72-2.84, 3 Ta 3.02
Co 0.5000 0.5000 0.5000  6 Co 2.35
Co 0.9206 0.4104 0.2587  7 Co 2.35-2.47
Co 0.4104 0.4104 0.2587  7 Co 2.35-2.47
Co 0.5896 0.5896 0.7413  7 Co 2.35-2.47
Co 0.6645 0.6645 0.0064  6 Co 2.42-2.47